This record from Alexandria via LeMat-Bulk describes Al5Cu24 after structural relaxation. The functional is PBE.

Geometry as extended XYZ:
```
29
Lattice="7.787 0.000 0.000 -2.596 7.342 0.000 -2.596 -3.671 6.358" Properties=species:S:1:pos:R:3 pbc="T T T"
Cu 2.427 -0.698 1.209
Cu 1.129 3.690 3.973
Cu -2.834 0.486 4.347
Cu -2.764 2.973 5.150
Cu 3.725 5.267 1.176
Cu 3.999 1.161 2.011
Cu 2.358 3.334 1.752
Cu 3.725 -1.615 5.150
Cu 0.507 -1.377 2.385
Cu -0.238 -0.337 4.606
Cu -1.467 2.056 1.209
Cu -2.834 3.522 2.595
Cu 3.102 2.294 3.973
Cu 2.427 1.395 0.000
Cu 2.358 -0.149 3.764
Cu 4.265 2.996 0.000
Cu 4.265 -1.498 2.595
Cu 1.129 1.596 5.182
Cu 1.403 -2.510 4.347
Cu -0.927 2.173 3.764
Cu 1.403 5.020 0.000
Cu 0.507 2.754 0.000
Cu -0.238 4.157 2.011
Cu -1.467 0.019 2.385
Al 0.000 0.000 0.000
Al 0.958 1.355 2.347
Al -1.638 -2.316 4.011
Al -1.638 4.632 0.000
Al 4.913 0.000 0.000
```

Values from the calculation:
- total magnetic moment (μB/f.u.) = 0.0
- energy (eV/f.u.) = -118.8
- ρ (g/cm3) = 7.58
- Fermi-level density of states (states/eV per cell) = 13.380
- V (Å³ per cell) = 363.5
- DFT formation energy (eV per formula unit) = -1.74
- crystal system = cubic